Material: CuP2O2
Method: DFT, PBE
State: optimized geometry

The structure in CIF format:
```
data_CuP2O2
_chemical_formula_sum 'Cu2 P4 O4'
_cell_length_a 5.942
_cell_length_b 5.942
_cell_length_c 3.452
_cell_angle_alpha 90.00
_cell_angle_beta 90.00
_cell_angle_gamma 90.00
_symmetry_space_group_name_H-M 'P 1'
_symmetry_Int_Tables_number 1
loop_
_symmetry_equiv_pos_as_xyz
'x,y,z'
loop_
_atom_site_label
_atom_site_type_symbol
_atom_site_fract_x
_atom_site_fract_y
_atom_site_fract_z
Cu1 Cu 0.000 0.000 0.000
Cu2 Cu 0.500 0.500 0.000
P1 P 0.141 0.359 0.000
P2 P 0.359 0.859 0.000
P3 P 0.641 0.141 0.000
P4 P 0.859 0.641 0.000
O1 O 0.154 0.346 0.500
O2 O 0.346 0.846 0.500
O3 O 0.654 0.154 0.500
O4 O 0.846 0.654 0.500
```

The calculation puts the uncorrected formation energy at -52.10 kJ/mol of atoms. The calculation puts the magnetization at 0.00 μB/f.u. The calculation puts the polymorph energy (0 for the lowest one) at 0.000 eV/atom. The total energy is -5.51 eV/atom.



Material: Pr2DyNi9
Method: DFT, PBE
State: optimized geometry

The structure in CIF format:
```
data_Pr2DyNi9
_chemical_formula_sum 'Pr2 Dy1 Ni9'
_cell_length_a 8.800
_cell_length_b 8.800
_cell_length_c 8.800
_cell_angle_alpha 33.06
_cell_angle_beta 33.06
_cell_angle_gamma 33.06
_symmetry_space_group_name_H-M 'P 1'
_symmetry_Int_Tables_number 1
loop_
_symmetry_equiv_pos_as_xyz
'x,y,z'
loop_
_atom_site_label
_atom_site_type_symbol
_atom_site_fract_x
_atom_site_fract_y
_atom_site_fract_z
Pr1 Pr 0.138 0.138 0.138
Pr2 Pr 0.862 0.862 0.862
Dy1 Dy 0.000 0.000 0.000
Ni1 Ni 0.080 0.579 0.579
Ni2 Ni 0.333 0.333 0.333
Ni3 Ni 0.421 0.421 0.920
Ni4 Ni 0.421 0.920 0.421
Ni5 Ni 0.500 0.500 0.500
Ni6 Ni 0.579 0.080 0.579
Ni7 Ni 0.579 0.579 0.080
Ni8 Ni 0.667 0.667 0.667
Ni9 Ni 0.920 0.421 0.421
```

The calculation puts the magnetization at 1.02 μB/f.u. The value obtained for the calculated formation energy is -319 meV/atom. The total energy is -5.84 eV/atom.



Material: AcDy2Y4Sc
Method: DFT, PBE
State: optimized geometry

The structure in CIF format:
```
data_AcDy2Y4Sc
_chemical_formula_sum 'Ac1 Dy2 Y4 Sc1'
_cell_length_a 5.048
_cell_length_b 5.057
_cell_length_c 10.165
_cell_angle_alpha 90.00
_cell_angle_beta 90.04
_cell_angle_gamma 90.00
_symmetry_space_group_name_H-M 'P 1'
_symmetry_Int_Tables_number 1
loop_
_symmetry_equiv_pos_as_xyz
'x,y,z'
loop_
_atom_site_label
_atom_site_type_symbol
_atom_site_fract_x
_atom_site_fract_y
_atom_site_fract_z
Ac1 Ac 0.000 0.000 0.000
Dy1 Dy 0.000 0.000 0.500
Dy2 Dy 0.500 0.500 0.000
Y1 Y 0.000 0.500 0.263
Y2 Y 0.000 0.500 0.737
Y3 Y 0.500 0.000 0.263
Y4 Y 0.500 0.000 0.737
Sc1 Sc 0.500 0.500 0.500
```

The calculation puts the magnetization at 0.00 μB/f.u. The value obtained for the calculated formation energy is 59 meV/atom. The total energy is -5.63 eV/atom.



Material: BaCrTc2
Method: DFT, PBE
State: optimized geometry

The structure in CIF format:
```
data_BaCrTc2
_chemical_formula_sum 'Ba4 Cr4 Tc8'
_cell_length_a 5.060
_cell_length_b 5.060
_cell_length_c 15.779
_cell_angle_alpha 90.00
_cell_angle_beta 90.00
_cell_angle_gamma 90.00
_symmetry_space_group_name_H-M 'P 1'
_symmetry_Int_Tables_number 1
loop_
_symmetry_equiv_pos_as_xyz
'x,y,z'
loop_
_atom_site_label
_atom_site_type_symbol
_atom_site_fract_x
_atom_site_fract_y
_atom_site_fract_z
Ba1 Ba 0.000 0.250 0.375
Ba2 Ba 0.000 0.750 0.625
Ba3 Ba 0.500 0.250 0.125
Ba4 Ba 0.500 0.750 0.875
Cr1 Cr 0.000 0.250 0.875
Cr2 Cr 0.000 0.750 0.125
Cr3 Cr 0.500 0.250 0.625
Cr4 Cr 0.500 0.750 0.375
Tc1 Tc 0.000 0.000 0.000
Tc2 Tc 0.000 0.500 0.000
Tc3 Tc 0.250 0.250 0.750
Tc4 Tc 0.250 0.750 0.250
Tc5 Tc 0.500 0.000 0.500
Tc6 Tc 0.500 0.500 0.500
Tc7 Tc 0.750 0.250 0.750
Tc8 Tc 0.750 0.750 0.250
```

The calculation puts the magnetization at 0.00 μB/f.u. The calculation puts the polymorph energy (0 for the lowest one) at 0.530 eV/atom. The value obtained for the calculated formation energy is 1086 meV/atom. The total energy is -6.98 eV/atom.